# 1
ZrCoAgSn: optimized geometry, PBE.

**Size of the total moment**: 0.60 μB per cell
**Mass density**: 8.78 g/cm3
**Raw total energy**: -5.591 eV per atom
**Crystal system**: cubic

The structure in POSCAR format:
```
ZrCoAgSn
1.0
0.0000 3.2901 3.2901
3.2901 0.0000 3.2901
3.2901 3.2901 0.0000
Zr Co Ag Sn
1 1 1 1
direct
0.0000 0.0000 0.0000 Zr
0.5000 0.5000 0.5000 Co
0.7500 0.7500 0.7500 Ag
0.2500 0.2500 0.2500 Sn
```

# 2
ZrCoAgSn: optimized geometry, PBE.

**Size of the total moment**: 0.00 μB per cell
**Mass density**: 8.89 g/cm3
**Raw total energy**: -5.765 eV per atom
**Crystal system**: cubic

The structure in POSCAR format:
```
ZrCoAgSn
1.0
0.0000 3.2770 3.2770
3.2770 0.0000 3.2770
3.2770 3.2770 0.0000
Zr Co Ag Sn
1 1 1 1
direct
0.0000 0.0000 0.0000 Zr
0.7500 0.7500 0.7500 Co
0.2500 0.2500 0.2500 Ag
0.5000 0.5000 0.5000 Sn
```

# 3
SrCo2Ag: optimized geometry, PBE.

**Size of the total moment**: 3.25 μB per cell
**Mass density**: 6.98 g/cm3
**Raw total energy**: -4.021 eV per atom
**Crystal system**: cubic

The structure in POSCAR format:
```
SrCo2Ag
1.0
0.0000 3.3404 3.3404
3.3404 0.0000 3.3404
3.3404 3.3404 0.0000
Sr Co Ag
1 2 1
direct
0.0000 0.0000 0.0000 Sr
0.5000 0.5000 0.5000 Co
0.7500 0.7500 0.7500 Co
0.2500 0.2500 0.2500 Ag
```

# 4
SrCoAg2: optimized geometry, PBE.

**Size of the total moment**: 1.35 μB per cell
**Mass density**: 7.32 g/cm3
**Raw total energy**: -3.218 eV per atom
**Crystal system**: cubic

The structure in POSCAR format:
```
SrCoAg2
1.0
0.0000 3.4515 3.4515
3.4515 0.0000 3.4515
3.4515 3.4515 0.0000
Sr Co Ag
1 1 2
direct
0.0000 0.0000 0.0000 Sr
0.2500 0.2500 0.2500 Co
0.5000 0.5000 0.5000 Ag
0.7500 0.7500 0.7500 Ag
```